No. 1
DFT (GGA-PBE) results for a relaxed CdAg2BiF6 crystal.

a = 6.6488 Å, b = 5.5738 Å, c = 10.5539 Å
α = 90.00°, β = 127.00°, γ = 90.00°
Closest atoms and distances in Å follow each position.
Atoms (fractional coordinates):
1 Cd 0.0000 0.0000 0.0000  6 F 2.22-2.30
2 Cd 0.0000 0.5000 0.5000  6 F 2.22-2.30
3 Ag 0.2903 0.0686 0.7794  4 F 2.39-2.65
4 Ag 0.2903 0.4314 0.2794  4 F 2.39-2.65
5 Ag 0.7097 0.5686 0.7206  4 F 2.39-2.65
6 Ag 0.7097 0.9314 0.2206  4 F 2.39-2.65
7 Bi 0.5000 0.0000 0.5000  6 F 2.35-2.48
8 Bi 0.5000 0.5000 0.0000  6 F 2.35-2.48
9 F 0.1482 0.7086 0.3832  1 Cd 2.30, 1 Ag 2.39, 1 Bi 2.48
10 F 0.1482 0.7914 0.8832  1 Cd 2.30, 1 Ag 2.39, 1 Bi 2.48
11 F 0.1675 0.1589 0.4939  1 Cd 2.22, 1 Bi 2.35
12 F 0.1675 0.3411 0.9939  1 Cd 2.22, 1 Bi 2.35
13 F 0.3582 0.6090 0.7376  1 Cd 2.27, 1 Bi 2.41, 1 Ag 2.46
14 F 0.3582 0.8910 0.2376  1 Cd 2.27, 1 Bi 2.41, 1 Ag 2.46
15 F 0.6418 0.1090 0.7624  1 Cd 2.27, 1 Bi 2.41, 1 Ag 2.46
16 F 0.6418 0.3910 0.2624  1 Cd 2.27, 1 Bi 2.41, 1 Ag 2.46
17 F 0.8325 0.6589 0.0061  1 Cd 2.22, 1 Bi 2.35
18 F 0.8325 0.8411 0.5061  1 Cd 2.22, 1 Bi 2.35
19 F 0.8518 0.2086 0.1168  1 Cd 2.30, 1 Ag 2.39, 1 Bi 2.48
20 F 0.8518 0.2914 0.6168  1 Cd 2.30, 1 Ag 2.39, 1 Bi 2.48

## Properties
* Fermi-level density of states: 3.6 states/eV/f.u.
* SG: P2_1/c
* electronic total energy: -75.933 eV per cell
* ΔE_f (raw): -1.624 eV/atom
* M_tot: 0.00 Bohr magnetons per cell

---

No. 2
DFT (GGA-PBE) results for a relaxed Y3TaSn crystal.

a = 5.6111 Å, b = 5.6111 Å, c = 5.6111 Å
α = 90.00°, β = 90.00°, γ = 90.00°
Closest atoms and distances in Å follow each position.
Atoms (fractional coordinates):
1 Y 0.0000 0.0000 0.5000  2 Sn 2.81
2 Y 0.0000 0.5000 0.0000  2 Sn 2.81
3 Y 0.5000 0.0000 0.0000  2 Sn 2.81
4 Ta 0.5000 0.5000 0.5000  12 Y 3.97
5 Sn 0.0000 0.0000 0.0000  6 Y 2.81

## Properties
* Fermi-level density of states: 6.7 states/eV/f.u.
* SG: Pm-3m
* electronic total energy: -30.550 eV per cell
* ΔE_f: 0.940 eV/atom
* polymorph energy (0 for the lowest one): 208 kJ/mol of formula units
* M_tot: 4.07 Bohr magnetons per cell

---

No. 3
DFT (GGA-PBE) results for a relaxed CeSi4Rh12 crystal.

a = 7.1167 Å, b = 7.1167 Å, c = 7.1167 Å
α = 109.47°, β = 109.47°, γ = 109.47°
Closest atoms and distances in Å follow each position.
Atoms (fractional coordinates):
1 Ce 0.0000 0.0000 0.0000  12 Rh 3.05
2 Si 0.0000 0.0000 0.5000  6 Rh 2.30
3 Si 0.0000 0.5000 0.0000  6 Rh 2.30
4 Si 0.5000 0.0000 0.0000  6 Rh 2.30
5 Si 0.5000 0.5000 0.5000  6 Rh 2.30
6 Rh 0.1568 0.4933 0.3365  2 Si 2.30, 1 Rh 2.58
7 Rh 0.1568 0.8203 0.6635  2 Si 2.30, 1 Rh 2.58
8 Rh 0.1797 0.3365 0.8432  2 Si 2.30, 1 Rh 2.58
9 Rh 0.3365 0.1568 0.4933  2 Si 2.30, 1 Rh 2.58
10 Rh 0.3365 0.8432 0.1797  2 Si 2.30, 1 Rh 2.58
11 Rh 0.4933 0.3365 0.1568  2 Si 2.30, 1 Rh 2.58
12 Rh 0.5067 0.6635 0.8432  2 Si 2.30, 1 Rh 2.58
13 Rh 0.6635 0.1568 0.8203  2 Si 2.30, 1 Rh 2.58
14 Rh 0.6635 0.8432 0.5067  2 Si 2.30, 1 Rh 2.58
15 Rh 0.8203 0.6635 0.1568  2 Si 2.30, 1 Rh 2.58
16 Rh 0.8432 0.1797 0.3365  2 Si 2.30, 1 Rh 2.58
17 Rh 0.8432 0.5067 0.6635  2 Si 2.30, 1 Rh 2.58

## Properties
* Fermi-level density of states: 19.5 states/eV/f.u.
* SG: Im-3
* electronic total energy: -119.604 eV per cell
* ΔE_f (raw): -0.221 eV/atom
* M_tot: 0.00 Bohr magnetons per cell

---

No. 4
DFT (GGA-PBE) results for a relaxed Dy3Ru crystal.

a = 11.5578 Å, b = 11.5578 Å, c = 6.2442 Å
α = 90.00°, β = 90.00°, γ = 90.00°
Closest atoms and distances in Å follow each position.
Atoms (fractional coordinates):
1 Dy 0.0321 0.5925 0.1984  2 Ru 2.79-2.83
2 Dy 0.0925 0.9679 0.6984  2 Ru 2.79-2.83
3 Dy 0.1163 0.6657 0.6925  2 Ru 2.87-3.18
4 Dy 0.1185 0.1928 0.0244  2 Ru 2.80-3.10
5 Dy 0.1657 0.8837 0.1925  2 Ru 2.87-3.18
6 Dy 0.1928 0.3815 0.4756  2 Ru 2.80-3.10
7 Dy 0.3072 0.1185 0.4756  2 Ru 2.80-3.10
8 Dy 0.3343 0.6163 0.1925  2 Ru 2.87-3.18
9 Dy 0.3815 0.3072 0.0244  2 Ru 2.80-3.10
10 Dy 0.3837 0.8343 0.6925  2 Ru 2.87-3.18
11 Dy 0.4075 0.5321 0.6984  2 Ru 2.79-2.83
12 Dy 0.4679 0.9075 0.1984  2 Ru 2.79-2.83
13 Dy 0.5321 0.0925 0.8016  2 Ru 2.79-2.83
14 Dy 0.5925 0.4679 0.3016  2 Ru 2.79-2.83
15 Dy 0.6163 0.1657 0.3075  2 Ru 2.87-3.18
16 Dy 0.6185 0.6928 0.9756  2 Ru 2.80-3.10
17 Dy 0.6657 0.3837 0.8075  2 Ru 2.87-3.18
18 Dy 0.6928 0.8815 0.5244  2 Ru 2.80-3.10
19 Dy 0.8072 0.6185 0.5244  2 Ru 2.80-3.10
20 Dy 0.8343 0.1163 0.8075  2 Ru 2.87-3.18
21 Dy 0.8815 0.8072 0.9756  2 Ru 2.80-3.10
22 Dy 0.8837 0.3343 0.3075  2 Ru 2.87-3.18
23 Dy 0.9075 0.0321 0.3016  2 Ru 2.79-2.83
24 Dy 0.9679 0.4075 0.8016  2 Ru 2.79-2.83
25 Ru 0.0490 0.1884 0.5177  5 Dy 2.79-3.10
26 Ru 0.1884 0.4510 0.9823  5 Dy 2.79-3.10
27 Ru 0.3116 0.0490 0.9823  5 Dy 2.79-3.10
28 Ru 0.4510 0.3116 0.5177  5 Dy 2.79-3.10
29 Ru 0.5490 0.6884 0.4823  5 Dy 2.79-3.10
30 Ru 0.6884 0.9510 0.0177  5 Dy 2.79-3.10
31 Ru 0.8116 0.5490 0.0177  5 Dy 2.79-3.10
32 Ru 0.9510 0.8116 0.4823  5 Dy 2.79-3.10

## Properties
* Fermi-level density of states: 4.5 states/eV/f.u.
* SG: P4_2/n
* electronic total energy: -192.242 eV per cell
* ΔE_f: -0.237 eV/atom
* M_tot: 0.00 Bohr magnetons per cell

---

No. 5
DFT (GGA-PBE) results for a relaxed Mg2TlSn crystal.

a = 5.9972 Å, b = 5.9972 Å, c = 5.9972 Å
α = 47.79°, β = 47.79°, γ = 47.79°
Closest atoms and distances in Å follow each position.
Atoms (fractional coordinates):
1 Mg 0.0000 0.0000 0.0000  3 Tl 2.95, 1 Mg 3.06, 3 Sn 3.06
2 Mg 0.1924 0.1924 0.1924  1 Mg 3.06, 3 Tl 3.10, 3 Sn 3.35
3 Tl 0.6092 0.6092 0.6092  6 Mg 2.95-3.10, 1 Sn 3.16
4 Sn 0.4103 0.4103 0.4103  6 Mg 3.06-3.35, 1 Tl 3.16

## Properties
* Fermi-level density of states: 1.8 states/eV/f.u.
* SG: R3m
* electronic total energy: -9.424 eV per cell
* ΔE_f: 0.033 eV/atom
* M_tot: 0.00 Bohr magnetons per cell

---

No. 6
DFT (GGA-PBE) results for a relaxed BeSeN2O crystal.

a = 3.6122 Å, b = 3.6122 Å, c = 3.4478 Å
α = 90.00°, β = 90.00°, γ = 90.00°
Closest atoms and distances in Å follow each position.
Atoms (fractional coordinates):
1 Be 0.0000 0.0000 0.0000  2 O 1.72, 4 N 1.81
2 Se 0.5000 0.5000 0.5000  8 N 2.50, 4 O 2.55
3 N 0.0000 0.5000 0.0000  2 Be 1.81
4 N 0.5000 0.0000 0.0000  2 Be 1.81
5 O 0.0000 0.0000 0.5000  2 Be 1.72

## Properties
* Fermi-level density of states: 2.4 states/eV/f.u.
* SG: P4/mmm
* electronic total energy: -23.514 eV per cell
* ΔE_f (raw): 1.061 eV/atom
* M_tot: 0.00 Bohr magnetons per cell

---

No. 7
DFT (GGA-PBE) results for a relaxed Cu2MoPd9 crystal.

a = 3.9086 Å, b = 3.9086 Å, c = 11.7166 Å
α = 90.00°, β = 90.00°, γ = 90.00°
Closest atoms and distances in Å follow each position.
Atoms (fractional coordinates):
1 Cu 0.0000 0.0000 0.1623  12 Pd 2.73-2.81
2 Cu 0.0000 0.0000 0.8377  12 Pd 2.73-2.81
3 Mo 0.0000 0.0000 0.5000  12 Pd 2.75-2.76
4 Pd 0.0000 0.5000 0.0000  4 Cu 2.73, 8 Pd 2.76-2.77
5 Pd 0.0000 0.5000 0.3351  8 Pd 2.75-2.77, 2 Mo 2.75, 2 Cu 2.81
6 Pd 0.0000 0.5000 0.6649  8 Pd 2.75-2.77, 2 Mo 2.75, 2 Cu 2.81
7 Pd 0.5000 0.0000 0.0000  4 Cu 2.73, 8 Pd 2.76-2.77
8 Pd 0.5000 0.0000 0.3351  8 Pd 2.75-2.77, 2 Mo 2.75, 2 Cu 2.81
9 Pd 0.5000 0.0000 0.6649  8 Pd 2.75-2.77, 2 Mo 2.75, 2 Cu 2.81
10 Pd 0.5000 0.5000 0.1676  4 Cu 2.76, 8 Pd 2.77
11 Pd 0.5000 0.5000 0.5000  8 Pd 2.75, 4 Mo 2.76
12 Pd 0.5000 0.5000 0.8324  4 Cu 2.76, 8 Pd 2.77

## Properties
* Fermi-level density of states: 14.0 states/eV/f.u.
* SG: P4/mmm
* electronic total energy: -66.553 eV per cell
* ΔE_f: -0.066 eV/atom
* M_tot: 0.00 Bohr magnetons per cell

---

No. 8
DFT (GGA-PBE) results for a relaxed BaLaDy4S8 crystal.

a = 8.3865 Å, b = 8.3865 Å, c = 8.3865 Å
α = 58.86°, β = 58.86°, γ = 58.86°
Closest atoms and distances in Å follow each position.
Atoms (fractional coordinates):
1 Ba 0.0000 0.0000 0.0000  4 S 2.90-2.92
2 La 0.6288 0.6288 0.6288  6 S 2.82-2.97
3 Dy 0.1225 0.6289 0.6289  6 S 2.69-2.88
4 Dy 0.2525 0.2525 0.2525  4 S 2.65-2.73
5 Dy 0.6289 0.1225 0.6289  6 S 2.69-2.88
6 Dy 0.6289 0.6289 0.1225  6 S 2.69-2.88
7 S 0.3770 0.3770 0.8599  3 Dy 2.65-2.86, 1 La 2.97
8 S 0.3770 0.8599 0.3770  3 Dy 2.65-2.86, 1 La 2.97
9 S 0.3843 0.3843 0.3843  4 Dy 2.73-2.88
10 S 0.4292 0.8666 0.8666  2 Dy 2.69, 1 La 2.82, 1 Ba 2.90
11 S 0.8589 0.8589 0.8589  3 Dy 2.71, 1 Ba 2.92
12 S 0.8599 0.3770 0.3770  3 Dy 2.65-2.86, 1 La 2.97
13 S 0.8666 0.4292 0.8666  2 Dy 2.69, 1 La 2.82, 1 Ba 2.90
14 S 0.8666 0.8666 0.4292  2 Dy 2.69, 1 La 2.82, 1 Ba 2.90

## Properties
* Fermi-level density of states: 4.1 states/eV/f.u.
* SG: R3m
* electronic total energy: -86.023 eV per cell
* ΔE_f (raw): -1.982 eV/atom
* M_tot: 0.00 Bohr magnetons per cell

---

> M_tot of number 6 (BeSeN2O)?

0.00 Bohr magnetons per cell

---

Copy entry 3 word for word.
DFT (GGA-PBE) results for a relaxed CeSi4Rh12 crystal.

a = 7.1167 Å, b = 7.1167 Å, c = 7.1167 Å
α = 109.47°, β = 109.47°, γ = 109.47°
Closest atoms and distances in Å follow each position.
Atoms (fractional coordinates):
1 Ce 0.0000 0.0000 0.0000  12 Rh 3.05
2 Si 0.0000 0.0000 0.5000  6 Rh 2.30
3 Si 0.0000 0.5000 0.0000  6 Rh 2.30
4 Si 0.5000 0.0000 0.0000  6 Rh 2.30
5 Si 0.5000 0.5000 0.5000  6 Rh 2.30
6 Rh 0.1568 0.4933 0.3365  2 Si 2.30, 1 Rh 2.58
7 Rh 0.1568 0.8203 0.6635  2 Si 2.30, 1 Rh 2.58
8 Rh 0.1797 0.3365 0.8432  2 Si 2.30, 1 Rh 2.58
9 Rh 0.3365 0.1568 0.4933  2 Si 2.30, 1 Rh 2.58
10 Rh 0.3365 0.8432 0.1797  2 Si 2.30, 1 Rh 2.58
11 Rh 0.4933 0.3365 0.1568  2 Si 2.30, 1 Rh 2.58
12 Rh 0.5067 0.6635 0.8432  2 Si 2.30, 1 Rh 2.58
13 Rh 0.6635 0.1568 0.8203  2 Si 2.30, 1 Rh 2.58
14 Rh 0.6635 0.8432 0.5067  2 Si 2.30, 1 Rh 2.58
15 Rh 0.8203 0.6635 0.1568  2 Si 2.30, 1 Rh 2.58
16 Rh 0.8432 0.1797 0.3365  2 Si 2.30, 1 Rh 2.58
17 Rh 0.8432 0.5067 0.6635  2 Si 2.30, 1 Rh 2.58

## Properties
* Fermi-level density of states: 19.5 states/eV/f.u.
* SG: Im-3
* electronic total energy: -119.604 eV per cell
* ΔE_f (raw): -0.221 eV/atom
* M_tot: 0.00 Bohr magnetons per cell

---

> Fermi-level density of states of number 5 (Mg2TlSn)?

1.8 states/eV/f.u.